First-principles (GGA-PBE) data for crystalline Gd2ErNi at its relaxed geometry, as listed in Alexandria.

a = 3.495 Å, b = 3.495 Å, c = 8.485 Å
α = 90.00°, β = 90.00°, γ = 90.00°
Element x y z (fractional)
Gd 0.000 0.000 0.191
Gd 0.000 0.000 0.809
Er 0.500 0.500 0.500
Ni 0.500 0.500 0.000

## Properties
final energy = -39.02 eV per cell
E_form = -49 kJ/mol of formula units

=====

First-principles (GGA-PBE) data for crystalline GdErNiPd at its relaxed geometry, as listed in Alexandria.

a = 4.889 Å, b = 4.889 Å, c = 4.889 Å
α = 60.00°, β = 60.00°, γ = 60.00°
Element x y z (fractional)
Pd 0.750 0.750 0.750
Ni 0.250 0.250 0.250
Gd 0.500 0.500 0.500
Er 0.000 0.000 0.000

## Properties
final energy = -32.06 eV per cell
E_form = -235 kJ/mol of formula units